1.
PBE Pr2CdGa4Pd3, optimized geometry; DFT formation energy = -0.70 eV/atom; space group = No. 115; spin magnetization = 0.00 μB/cell
1.0
-1.847 -1.361 -3.678
-2.770 -2.426 2.289
-6.924 8.293 0.408
Pd Ga Pr Cd
3 4 2 1
Direct
0.500 0.000 0.874 Pd
0.000 0.000 0.500 Pd
0.000 0.500 0.126 Pd
0.000 0.000 0.000 Ga
0.000 0.500 0.355 Ga
0.500 0.000 0.645 Ga
0.500 0.500 0.000 Ga
0.000 0.500 0.763 Pr
0.500 0.000 0.237 Pr
0.500 0.500 0.500 Cd



2.
PBE BeSbAsI2, optimized geometry; space group = No. 123; formation energy from raw total energies = 87.8 kJ per mole of atoms; spin magnetization = 0.22 μB/cell
1.0
5.632 0.000 0.000
0.000 5.632 0.000
0.000 0.000 5.562
I Be As Sb
2 1 1 1
Direct
0.500 0.000 0.000 I
0.000 0.500 0.000 I
0.500 0.500 0.500 Be
0.000 0.000 0.000 As
0.000 0.000 0.500 Sb



3.
PBE EuCu2Hg, optimized geometry; DFT formation energy = -0.13 eV/atom; space group = No. 166; spin magnetization = 7.13 μB/cell
1.0
-0.745 3.405 -2.914
-4.113 0.548 -1.850
-2.898 4.200 2.107
Eu Cu Hg
1 2 1
Direct
0.000 0.000 0.000 Eu
0.798 0.798 0.606 Cu
0.202 0.202 0.394 Cu
0.500 0.500 0.500 Hg



4.
PBE Ac7SiGe3, optimized geometry; space group = No. 12; formation energy from raw total energies = -35.1 kJ per mole of atoms; spin magnetization = 0.00 μB/cell
1.0
-4.573 4.909 1.975
1.965 -3.508 6.648
6.584 3.949 -1.193
Ac Si Ge
7 1 3
Direct
0.705 0.949 0.388 Ac
0.705 0.388 0.949 Ac
0.207 0.172 0.172 Ac
0.295 0.051 0.612 Ac
0.000 0.500 0.500 Ac
0.295 0.612 0.051 Ac
0.793 0.828 0.828 Ac
0.500 0.500 0.500 Si
0.500 0.000 0.000 Ge
0.000 0.772 0.228 Ge
0.000 0.228 0.772 Ge



no.,Fermi-level density of states (states/eV per cell),total energy (eV/atom)
1,6.86,-4.515
2,3.70,-2.210
3,10.55,-4.821
4,8.55,-4.731